## ReNiTe2 (meta-GGA SCAN)

Data for a crystal of ReNiTe2 relaxed with PBEsol.

## Properties
N(E_F) = 3.7 states/eV per cell
Relative energy among the computed polymorphs = 630 meV/atom
Formation energy without anion corrections = 0.74 eV/atom
Size of the total moment = 0.000 μB per atom

Cell lengths 3.2552, 4.6364, 4.6364 Å; angles 90.00, 90.00, 90.00 degrees
With the nearest neighbours (Å) after each atom.
Atoms (fractional coordinates):
Ni (0.5000, 0.0000, 0.0000)  8 Te 2.83
Re (0.5000, 0.5000, 0.5000)  8 Te 2.83
Te (0.0000, 0.0000, 0.5000)  4 Re 2.83, 4 Ni 2.83
Te (0.0000, 0.5000, 0.0000)  4 Re 2.83, 4 Ni 2.83



## AlAg7 (meta-GGA SCAN)

Data for a crystal of AlAg7 relaxed with PBEsol.

## Properties
N(E_F) = 2.0 states/eV per cell
Relative energy among the computed polymorphs = 6 meV/atom
Calculated formation energy = -0.3 eV per formula unit
Size of the total moment = 0.000 μB per atom

Cell lengths 4.0543, 4.0543, 8.4566 Å; angles 103.87, 103.87, 90.00 degrees
With the nearest neighbours (Å) after each atom.
Atoms (fractional coordinates):
Al (0.0000, 0.0000, 0.0000)  12 Ag 2.81-2.87
Ag (0.1225, 0.6225, 0.2451)  2 Al 2.81, 10 Ag 2.81-2.88
Ag (0.2513, 0.2513, 0.5026)  12 Ag 2.85-2.88
Ag (0.3775, 0.8775, 0.7549)  2 Al 2.81, 10 Ag 2.81-2.88
Ag (0.5000, 0.5000, 0.0000)  8 Ag 2.81, 4 Al 2.87
Ag (0.6225, 0.1225, 0.2451)  2 Al 2.81, 10 Ag 2.81-2.88
Ag (0.7487, 0.7487, 0.4974)  12 Ag 2.85-2.88
Ag (0.8775, 0.3775, 0.7549)  2 Al 2.81, 10 Ag 2.81-2.88



## Ca9Zn4Sb9 (meta-GGA SCAN)

Data for a crystal of Ca9Zn4Sb9 relaxed with PBEsol.

## Properties
N(E_F) = 9.2 states/eV per cell
Formation energy without anion corrections = -0.89 eV/atom
Size of the total moment = 0.000 μB per atom

Cell lengths 4.4961, 12.2721, 21.4974 Å; angles 90.00, 90.00, 90.00 degrees
With the nearest neighbours (Å) after each atom.
Atoms (fractional coordinates):
Ca (0.5000, 0.0000, 0.0000)  6 Sb 3.19-3.28, 2 Zn 3.50
Ca (0.5000, 0.5000, 0.5000)  6 Sb 3.19-3.28, 2 Zn 3.50
Ca (0.0000, 0.8696, 0.8636)  4 Zn 3.12-3.47, 5 Sb 3.12-3.20
Ca (0.0000, 0.1304, 0.1364)  4 Zn 3.12-3.47, 5 Sb 3.12-3.20
Ca (0.0000, 0.3696, 0.6364)  4 Zn 3.12-3.47, 5 Sb 3.12-3.20
Ca (0.0000, 0.6304, 0.3636)  4 Zn 3.12-3.47, 5 Sb 3.12-3.20
Ca (0.0000, 0.5686, 0.9097)  5 Sb 3.09-3.20, 2 Zn 3.12
Ca (0.0000, 0.4314, 0.0903)  5 Sb 3.09-3.20, 2 Zn 3.12
Ca (0.0000, 0.0686, 0.5903)  5 Sb 3.09-3.20, 2 Zn 3.12
Ca (0.0000, 0.9314, 0.4097)  5 Sb 3.09-3.20, 2 Zn 3.12
Ca (0.0000, 0.6270, 0.7361)  6 Sb 3.13-3.30
Ca (0.0000, 0.3730, 0.2639)  6 Sb 3.13-3.30
Ca (0.0000, 0.1270, 0.7639)  6 Sb 3.13-3.30
Ca (0.0000, 0.8730, 0.2361)  6 Sb 3.13-3.30
Ca (0.5000, 0.7937, 0.6029)  6 Sb 3.18-3.36, 1 Zn 3.19
Ca (0.5000, 0.2063, 0.3971)  6 Sb 3.18-3.36, 1 Zn 3.19
Ca (0.5000, 0.2937, 0.8971)  6 Sb 3.18-3.36, 1 Zn 3.19
Ca (0.5000, 0.7063, 0.1029)  6 Sb 3.18-3.36, 1 Zn 3.19
Zn (0.5000, 0.7259, 0.9548)  4 Sb 2.67-2.94
Zn (0.5000, 0.2741, 0.0452)  4 Sb 2.67-2.94
Zn (0.5000, 0.2259, 0.5452)  4 Sb 2.67-2.94
Zn (0.5000, 0.7741, 0.4548)  4 Sb 2.67-2.94
Zn (0.5000, 0.8881, 0.7635)  4 Sb 2.68-2.80
Zn (0.5000, 0.1119, 0.2365)  4 Sb 2.68-2.80
Zn (0.5000, 0.3881, 0.7365)  4 Sb 2.68-2.80
Zn (0.5000, 0.6119, 0.2635)  4 Sb 2.68-2.80
Sb (0.5000, 0.5000, 0.0000)  2 Zn 2.94, 4 Ca 3.09
Sb (0.5000, 0.0000, 0.5000)  2 Zn 2.94, 4 Ca 3.09
Sb (0.0000, 0.6937, 0.5079)  2 Zn 2.71
Sb (0.0000, 0.3063, 0.4921)  2 Zn 2.71
Sb (0.0000, 0.1937, 0.9921)  2 Zn 2.71
Sb (0.0000, 0.8063, 0.0079)  2 Zn 2.71
Sb (0.0000, 0.8856, 0.6959)  2 Zn 2.68
Sb (0.0000, 0.1144, 0.3041)  2 Zn 2.68
Sb (0.0000, 0.3856, 0.8041)  2 Zn 2.68
Sb (0.0000, 0.6144, 0.1959)  2 Zn 2.68
Sb (0.5000, 0.5454, 0.6459)  1 Zn 2.74
Sb (0.5000, 0.4546, 0.3541)  1 Zn 2.74
Sb (0.5000, 0.0454, 0.8541)  1 Zn 2.74
Sb (0.5000, 0.9546, 0.1459)  1 Zn 2.74
Sb (0.5000, 0.6941, 0.8319)  2 Zn 2.67-2.80
Sb (0.5000, 0.3059, 0.1681)  2 Zn 2.67-2.80
Sb (0.5000, 0.1941, 0.6681)  2 Zn 2.67-2.80
Sb (0.5000, 0.8059, 0.3319)  2 Zn 2.67-2.80



## MgReP (meta-GGA SCAN)

Data for a crystal of MgReP relaxed with PBEsol.

## Properties
N(E_F) = 1.7 states/eV per cell
Calculated formation energy = -0.3 eV per formula unit
Size of the total moment = 0.000 μB per atom

Cell lengths 2.9998, 2.9998, 6.1003 Å; angles 90.00, 90.00, 120.00 degrees
With the nearest neighbours (Å) after each atom.
Atoms (fractional coordinates):
Mg (0.0000, 0.0000, 0.0000)  3 Re 2.85, 3 P 2.85, 6 Mg 3.00
P (0.3333, 0.6667, 0.6296)  3 Re 2.35
Re (0.6667, 0.3333, 0.3704)  3 P 2.35



## BaZnCo2 (meta-GGA SCAN)

Data for a crystal of BaZnCo2 relaxed with PBEsol.

## Properties
N(E_F) = 3.0 states/eV per cell
Calculated formation energy = 4.0 eV per formula unit
Size of the total moment = 0.549 μB per atom

Cell lengths 3.4241, 4.4280, 4.4280 Å; angles 90.00, 90.00, 90.00 degrees
With the nearest neighbours (Å) after each atom.
Atoms (fractional coordinates):
Zn (0.5000, 0.5000, 0.5000)  8 Co 2.80, 4 Ba 3.13
Co (0.0000, 0.0000, 0.5000)  4 Zn 2.80, 4 Ba 2.80, 4 Co 3.13
Co (0.0000, 0.5000, 0.0000)  4 Zn 2.80, 4 Ba 2.80, 4 Co 3.13
Ba (0.5000, 0.0000, 0.0000)  8 Co 2.80, 4 Zn 3.13



## TlWBr2 (meta-GGA SCAN)

Data for a crystal of TlWBr2 relaxed with PBEsol.

## Properties
N(E_F) = 1.6 states/eV per cell
Relative energy among the computed polymorphs = 381 meV/atom
Formation energy without anion corrections = 0.97 eV/atom
Size of the total moment = 0.816 μB per atom

Cell lengths 3.3948, 5.7230, 5.7230 Å; angles 109.19, 105.59, 105.59 degrees
With the nearest neighbours (Å) after each atom.
Atoms (fractional coordinates):
Tl (0.5000, 0.0000, 0.0000)  4 Br 2.91
Br (0.0000, 0.5000, 0.0000)  2 W 2.91, 2 Tl 2.91
Br (0.0000, 0.0000, 0.5000)  2 Tl 2.91, 2 W 2.91
W (0.5000, 0.5000, 0.5000)  4 Br 2.91



## Sb2MoCl (meta-GGA SCAN)

Data for a crystal of Sb2MoCl relaxed with PBEsol.

## Properties
N(E_F) = 2.6 states/eV per cell
Relative energy among the computed polymorphs = 0 meV/atom
Formation energy without anion corrections = 0.09 eV/atom
Size of the total moment = 0.150 μB per atom

Cell lengths 3.3296, 5.3531, 5.6745 Å; angles 118.14, 90.00, 90.00 degrees
With the nearest neighbours (Å) after each atom.
Atoms (fractional coordinates):
Sb (0.0000, 0.9538, 0.9075)  2 Mo 2.67, 2 Cl 2.88
Sb (0.5000, 0.2351, 0.4701)  2 Mo 2.68
Mo (0.5000, 0.7458, 0.4916)  2 Cl 2.49, 4 Sb 2.67-2.68
Cl (0.0000, 0.5605, 0.1210)  2 Mo 2.49



## CuSi2Ru (meta-GGA SCAN)

Data for a crystal of CuSi2Ru relaxed with PBEsol.

## Properties
N(E_F) = 1.3 states/eV per cell
Formation energy without anion corrections = -0.16 eV/atom
Size of the total moment = 0.000 μB per atom

Cell lengths 3.5633, 3.5633, 4.6176 Å; angles 112.70, 112.70, 90.00 degrees
With the nearest neighbours (Å) after each atom.
Atoms (fractional coordinates):
Cu (0.5000, 0.5000, 0.0000)  8 Si 2.52-2.63, 4 Ru 2.63
Ru (0.2500, 0.7500, 0.5000)  8 Si 2.52-2.63, 4 Cu 2.63
Si (0.0000, 0.0000, 0.0000)  4 Cu 2.52, 4 Ru 2.63, 4 Si 2.63
Si (0.7500, 0.2500, 0.5000)  4 Ru 2.52, 4 Cu 2.63, 4 Si 2.63



## TlAsPtSe2 (meta-GGA SCAN)

Data for a crystal of TlAsPtSe2 relaxed with PBEsol.

## Properties
N(E_F) = 5.2 states/eV per cell
Relative energy among the computed polymorphs = 1388 meV/atom
Formation energy without anion corrections = 1.56 eV/atom
Size of the total moment = 0.412 μB per atom

Cell lengths 5.1458, 5.1458, 5.1638 Å; angles 90.00, 90.00, 90.00 degrees
With the nearest neighbours (Å) after each atom.
Atoms (fractional coordinates):
As (0.0000, 0.0000, 0.5000)  2 Tl 2.58
Tl (0.0000, 0.0000, 0.0000)  4 Se 2.57, 2 As 2.58
Se (0.0000, 0.5000, 0.0000)  2 Tl 2.57
Se (0.5000, 0.0000, 0.0000)  2 Tl 2.57
Pt (0.5000, 0.5000, 0.5000)  4 As 3.64, 8 Se 3.64



## MgCu2 (meta-GGA SCAN)

Data for a crystal of MgCu2 relaxed with PBEsol.

## Properties
N(E_F) = 1.9 states/eV per cell
Calculated formation energy = -0.2 eV per formula unit
Size of the total moment = 0.000 μB per atom

Cell lengths 4.2680, 4.4644, 4.8335 Å; angles 117.50, 90.00, 90.00 degrees
With the nearest neighbours (Å) after each atom.
Atoms (fractional coordinates):
Cu (0.7500, 0.8662, 0.3705)  6 Cu 2.48-2.68, 4 Mg 2.61-2.70
Cu (0.2500, 0.1338, 0.6295)  6 Cu 2.48-2.68, 4 Mg 2.61-2.70
Cu (0.7500, 0.4958, 0.6295)  6 Cu 2.48-2.68, 4 Mg 2.61-2.70
Cu (0.2500, 0.5042, 0.3705)  6 Cu 2.48-2.68, 4 Mg 2.61-2.70
Mg (0.7500, 0.2175, 0.0000)  10 Cu 2.61-2.87, 2 Mg 2.89
Mg (0.2500, 0.7825, 0.0000)  10 Cu 2.61-2.87, 2 Mg 2.89



## TaTlW (meta-GGA SCAN)

Data for a crystal of TaTlW relaxed with PBEsol.

## Properties
N(E_F) = 0.5 states/eV per cell
Relative energy among the computed polymorphs = 0 meV/atom
Calculated formation energy = 1.8 eV per formula unit
Size of the total moment = 0.000 μB per atom

Cell lengths 2.8521, 4.6896, 4.6896 Å; angles 120.00, 90.00, 90.00 degrees
With the nearest neighbours (Å) after each atom.
Atoms (fractional coordinates):
Ta (0.0377, 0.0000, 0.0000)  3 W 2.82, 2 Ta 2.85, 3 Tl 2.92
Tl (0.6520, 0.3333, 0.6667)  2 Tl 2.85, 3 W 2.88, 3 Ta 2.92
W (0.3103, 0.6667, 0.3333)  3 Ta 2.82, 2 W 2.85, 3 Tl 2.88



## LaCuBRu2 (meta-GGA SCAN)

Data for a crystal of LaCuBRu2 relaxed with PBEsol.

## Properties
N(E_F) = 4.3 states/eV per cell
Calculated formation energy = 11.7 eV per formula unit
Size of the total moment = 0.223 μB per atom

Cell lengths 4.5219, 4.6984, 4.6984 Å; angles 90.00, 90.00, 90.00 degrees
With the nearest neighbours (Å) after each atom.
Atoms (fractional coordinates):
Ru (0.0000, 0.0000, 0.5000)  2 La 2.35
Ru (0.0000, 0.5000, 0.0000)  2 La 2.35
B (0.5000, 0.0000, 0.0000)  2 La 2.26
Cu (0.5000, 0.5000, 0.5000)  8 Ru 3.26, 4 B 3.32
La (0.0000, 0.0000, 0.0000)  2 B 2.26, 4 Ru 2.35



## LaMg2Si2 (meta-GGA SCAN)

Data for a crystal of LaMg2Si2 relaxed with PBEsol.

## Properties
N(E_F) = 2.3 states/eV per cell
Relative energy among the computed polymorphs = 19 meV/atom
Formation energy without anion corrections = -0.49 eV/atom
Size of the total moment = 0.000 μB per atom

Cell lengths 4.2783, 4.2783, 6.5033 Å; angles 109.20, 109.20, 90.00 degrees
With the nearest neighbours (Å) after each atom.
Atoms (fractional coordinates):
Si (0.3966, 0.3966, 0.7932)  1 Si 2.38
Si (0.6034, 0.6034, 0.2068)  1 Si 2.38
Mg (0.2500, 0.7500, 0.5000)  4 Si 2.73, 4 Mg 3.03
Mg (0.7500, 0.2500, 0.5000)  4 Si 2.73, 4 Mg 3.03
La (0.0000, 0.0000, 0.0000)  8 Si 3.25, 8 Mg 3.59